Record 1
A relaxed La7Sm2Y2 crystal, computed with GGA-PBE.

a = 6.2460 Å, b = 8.9412 Å, c = 8.9412 Å
α = 81.18°, β = 117.27°, γ = 117.27°
With the nearest neighbours (Å) after each atom.
Positions (direct):
La1 0.8480 0.5758 0.5758  6 La 3.51-3.86, 3 Sm 3.62-3.92, 2 Y 3.79
La2 0.3106 0.5839 0.0472  2 La 3.17-3.37, 1 Sm 3.43, 2 Y 3.44-3.54
La3 0.3106 0.0472 0.5839  2 La 3.17-3.37, 1 Sm 3.43, 2 Y 3.44-3.54
La4 0.1520 0.4242 0.4242  6 La 3.51-3.86, 3 Sm 3.62-3.92, 2 Y 3.79
La5 0.6894 0.9528 0.4161  2 La 3.17-3.37, 1 Sm 3.43, 2 Y 3.44-3.54
La6 0.5000 0.0000 0.0000  4 La 3.37, 2 Sm 3.68
La7 0.6894 0.4161 0.9528  2 La 3.17-3.37, 1 Sm 3.43, 2 Y 3.44-3.54
Y1 0.0000 0.2117 0.7883  6 La 3.44-3.79, 2 Sm 3.52
Y2 0.0000 0.7883 0.2117  6 La 3.44-3.79, 2 Sm 3.52
Sm1 0.6323 0.7704 0.7704  7 La 3.43-3.75, 2 Y 3.52
Sm2 0.3677 0.2296 0.2296  7 La 3.43-3.75, 2 Y 3.52

Calculated density   6.1 g cm⁻³
Distance to the lowest polymorph of the same formula   0.015 eV per atom
Space-group type   C2/m (12)
Total DFT energy (no corrections)   -5.055 eV per atom

---

Record 2
A relaxed Eu2HgBi crystal, computed with GGA-PBE.

a = 5.6337 Å, b = 5.6337 Å, c = 5.6337 Å
α = 60.00°, β = 60.00°, γ = 60.00°
With the nearest neighbours (Å) after each atom.
Positions (direct):
Eu1 0.2500 0.2500 0.2500  4 Hg 3.45, 4 Bi 3.45
Eu2 0.7500 0.7500 0.7500  4 Hg 3.45, 4 Bi 3.45
Hg1 0.0000 0.0000 0.0000  8 Eu 3.45
Bi1 0.5000 0.5000 0.5000  8 Eu 3.45

Calculated density   9.4 g cm⁻³
Distance to the lowest polymorph of the same formula   0.017 eV per atom
Space-group type   Fm-3m (225)
Total DFT energy (no corrections)   -6.888 eV per atom

---

Record 3
A relaxed Pr2NdCu3 crystal, computed with GGA-PBE.

a = 3.5952 Å, b = 3.5952 Å, c = 10.9177 Å
α = 90.00°, β = 90.00°, γ = 90.00°
With the nearest neighbours (Å) after each atom.
Positions (direct):
Pr1 0.5000 0.5000 0.1676  8 Cu 3.13-3.14
Pr2 0.5000 0.5000 0.8324  8 Cu 3.13-3.14
Cu1 0.0000 0.0000 0.6631  4 Nd 3.10, 4 Pr 3.14
Cu2 0.0000 0.0000 0.3369  4 Nd 3.10, 4 Pr 3.14
Cu3 0.0000 0.0000 0.0000  8 Pr 3.13
Nd1 0.5000 0.5000 0.5000  8 Cu 3.10

Calculated density   7.3 g cm⁻³
Distance to the lowest polymorph of the same formula   0.000 eV per atom
Space-group type   P4/mmm (123)
Total DFT energy (no corrections)   -4.564 eV per atom

---

Record 4
A relaxed KGeP2S8 crystal, computed with GGA-PBE.

a = 5.8781 Å, b = 5.8781 Å, c = 10.2715 Å
α = 73.37°, β = 73.37°, γ = 60.00°
With the nearest neighbours (Å) after each atom.
Positions (direct):
Ge1 0.0000 0.0000 0.0000  6 S 2.47
P1 0.2613 0.2613 0.2161  4 S 2.00-2.08
P2 0.7387 0.7387 0.7839  4 S 2.00-2.08
S1 0.9409 0.6185 0.1558  1 P 2.08
S2 0.6185 0.2848 0.1558  1 P 2.08
S3 0.0591 0.3815 0.8442  1 P 2.08
S4 0.8075 0.8075 0.5776  1 P 2.00
S5 0.1925 0.1925 0.4224  1 P 2.00
S6 0.3815 0.7152 0.8442  1 P 2.08
S7 0.7152 0.0591 0.8442  1 P 2.08
S8 0.2848 0.9409 0.1558  1 P 2.08
K1 0.5000 0.5000 0.5000  12 S 3.48-3.85

Calculated density   2.5 g cm⁻³
Formation energy without anion corrections   -22 kJ/mol of atoms
Space-group type   R-3 (148)
Total DFT energy (no corrections)   -4.356 eV per atom

---

Record 5
A relaxed LiAu5 crystal, computed with GGA-PBE.

a = 5.5201 Å, b = 5.5201 Å, c = 4.7022 Å
α = 90.00°, β = 90.00°, γ = 120.00°
With the nearest neighbours (Å) after each atom.
Positions (direct):
Au1 0.0000 0.5000 0.5000  8 Au 2.76-2.84
Au2 0.6667 0.3333 0.0000  6 Au 2.84
Au3 0.5000 0.5000 0.5000  8 Au 2.76-2.84
Au4 0.3333 0.6667 0.0000  6 Au 2.84
Au5 0.5000 0.0000 0.5000  8 Au 2.76-2.84
Li1 0.0000 0.0000 0.0000  6 Au 3.19

Calculated density   13.3 g cm⁻³
Distance to the lowest polymorph of the same formula   0.082 eV per atom
Space-group type   P6/mmm (191)
Total DFT energy (no corrections)   -3.208 eV per atom

---

Record 6
A relaxed Y2TeO6 crystal, computed with GGA-PBE.

a = 5.0037 Å, b = 5.0037 Å, c = 10.1140 Å
α = 90.00°, β = 90.00°, γ = 90.00°
With the nearest neighbours (Å) after each atom.
Positions (direct):
O1 0.7773 0.7773 0.5000  1 Te 1.96
O2 0.8173 0.8173 0.8544  1 Te 1.96
O3 0.3173 0.6827 0.3544  1 Te 1.96
O4 0.3173 0.6827 0.6456  1 Te 1.96
O5 0.7227 0.2773 0.0000  1 Te 1.96
O6 0.6827 0.3173 0.6456  1 Te 1.96
O7 0.8173 0.8173 0.1456  1 Te 1.96
O8 0.1827 0.1827 0.8544  1 Te 1.96
O9 0.1827 0.1827 0.1456  1 Te 1.96
O10 0.6827 0.3173 0.3544  1 Te 1.96
O11 0.2227 0.2227 0.5000  1 Te 1.96
O12 0.2773 0.7227 0.0000  1 Te 1.96
Te1 0.5000 0.5000 0.5000  6 O 1.96
Te2 0.0000 0.0000 0.0000  6 O 1.96
Y1 0.5000 0.5000 0.8346  6 O 2.25-2.31
Y2 0.5000 0.5000 0.1654  6 O 2.25-2.31
Y3 0.0000 0.0000 0.6654  6 O 2.25-2.31
Y4 0.0000 0.0000 0.3346  6 O 2.25-2.31

Calculated density   5.3 g cm⁻³
Formation energy without anion corrections   -239 kJ/mol of atoms
Space-group type   P4_2/mnm (136)
Total DFT energy (no corrections)   -7.563 eV per atom

---

Record 7
A relaxed La5Pm2Tm5 crystal, computed with GGA-PBE.

a = 5.1017 Å, b = 8.1205 Å, c = 10.8806 Å
α = 72.73°, β = 76.44°, γ = 71.69°
With the nearest neighbours (Å) after each atom.
Positions (direct):
Tm1 0.7487 0.2491 0.2535  4 Tm 3.58-3.66, 6 La 3.59-3.66, 2 Pm 3.61
Tm2 0.8300 0.8374 0.5025  5 La 3.54-3.65, 5 Tm 3.57-3.60, 2 Pm 3.62-3.66
Tm3 0.1700 0.1626 0.4975  5 La 3.54-3.65, 5 Tm 3.57-3.60, 2 Pm 3.62-3.66
Tm4 0.2513 0.7509 0.7465  4 Tm 3.58-3.66, 6 La 3.59-3.66, 2 Pm 3.61
Tm5 0.0000 0.0000 0.0000  8 La 3.60-3.64, 2 Tm 3.66, 2 Pm 3.66
La1 0.6645 0.6695 0.0015  5 Tm 3.60-3.66, 4 La 3.62-3.66, 3 Pm 3.62-3.67
La2 0.4130 0.9213 0.2527  7 Tm 3.54-3.64, 3 La 3.62-3.65, 2 Pm 3.66
La3 0.3355 0.3305 0.9985  5 Tm 3.60-3.66, 4 La 3.62-3.66, 3 Pm 3.62-3.67
La4 0.5870 0.0787 0.7473  7 Tm 3.54-3.64, 3 La 3.62-3.65, 2 Pm 3.66
La5 0.5000 0.5000 0.5000  4 Pm 3.60, 6 Tm 3.60-3.65, 2 La 3.64
Pm1 0.0832 0.5813 0.2524  7 La 3.60-3.67, 5 Tm 3.61-3.66
Pm2 0.9168 0.4187 0.7476  7 La 3.60-3.67, 5 Tm 3.61-3.66

Calculated density   7.5 g cm⁻³
Space-group type   C2/m (12)
Total DFT energy (no corrections)   -4.677 eV per atom

---

Record 8
A relaxed Sr2PaAgTe5 crystal, computed with GGA-PBE.

a = 4.5285 Å, b = 10.0068 Å, c = 13.9255 Å
α = 90.00°, β = 90.00°, γ = 103.08°
With the nearest neighbours (Å) after each atom.
Positions (direct):
Te1 0.7064 0.4129 0.8678  1 Ag 2.83, 2 Pa 3.08
Te2 0.5000 0.0000 0.7698  1 Ag 2.77
Te3 0.3580 0.7160 0.0050  1 Pa 3.02
Te4 0.0561 0.1122 0.0571  2 Ag 2.79, 1 Pa 2.92
Te5 0.5000 0.0000 0.2698  1 Ag 2.77
Te6 0.7127 0.4254 0.1660  2 Pa 3.07
Te7 0.6420 0.2840 0.5050  1 Pa 3.02
Te8 0.2936 0.5871 0.3678  1 Ag 2.83, 2 Pa 3.08
Te9 0.2873 0.5746 0.6660  2 Pa 3.07
Te10 0.9439 0.8878 0.5571  2 Ag 2.79, 1 Pa 2.92
Ag1 0.4285 0.8570 0.4420  4 Te 2.77-2.83
Ag2 0.5715 0.1430 0.9420  4 Te 2.77-2.83
Sr1 0.1157 0.2314 0.3178  7 Te 3.27-3.63
Sr2 0.1047 0.2094 0.6810  6 Te 3.29-3.58
Sr3 0.8843 0.7686 0.8178  7 Te 3.27-3.63
Sr4 0.8953 0.7906 0.1810  6 Te 3.29-3.58
Pa1 0.2033 0.4065 0.0176  6 Te 2.92-3.08
Pa2 0.7967 0.5935 0.5176  6 Te 2.92-3.08

Calculated density   6.2 g cm⁻³
Formation energy without anion corrections   -103 kJ/mol of atoms
Space-group type   Cmc2_1 (36)
Total DFT energy (no corrections)   -4.563 eV per atom

---

Record 9
A relaxed HfRe2Au crystal, computed with GGA-PBE.

a = 4.5765 Å, b = 4.5765 Å, c = 4.5765 Å
α = 60.00°, β = 60.00°, γ = 60.00°
With the nearest neighbours (Å) after each atom.
Positions (direct):
Hf1 0.0000 0.0000 0.0000  8 Re 2.80
Re1 0.7500 0.7500 0.7500  4 Hf 2.80, 4 Au 2.80
Re2 0.2500 0.2500 0.2500  4 Hf 2.80, 4 Au 2.80
Au1 0.5000 0.5000 0.5000  8 Re 2.80

Calculated density   18.3 g cm⁻³
Distance to the lowest polymorph of the same formula   0.000 eV per atom
Space-group type   Fm-3m (225)
Total DFT energy (no corrections)   -9.099 eV per atom

---

Record 10
A relaxed TiMoSN2 crystal, computed with GGA-PBE.

a = 3.8854 Å, b = 3.8854 Å, c = 4.8862 Å
α = 90.00°, β = 90.00°, γ = 90.00°
With the nearest neighbours (Å) after each atom.
Positions (direct):
Ti1 0.5000 0.5000 0.5000  4 S 2.75
N1 0.0000 0.5000 0.0000  2 Mo 1.94
N2 0.5000 0.0000 0.0000  2 Mo 1.94
S1 0.0000 0.0000 0.5000  2 Mo 2.44
Mo1 0.0000 0.0000 0.0000  4 N 1.94

Calculated density   4.6 g cm⁻³
Distance to the lowest polymorph of the same formula   0.000 eV per atom
Formation energy without anion corrections   17 kJ/mol of atoms
Space-group type   P4/mmm (123)
Total DFT energy (no corrections)   -7.727 eV per atom

---

Number 9 is which compound? HfRe2Au

---

Among the records above, which one has the highest total DFT energy (no corrections)? LiAu5